A geometry-optimized SrZn4Rh structure. Source: Alexandria, functional GGA-PBE.

Values from the calculation:
Energy relative to the lowest polymorph listed for this composition in eV per atom: 0.049
Formation energy in meV/atom: -193
Size of the total moment in μB per formula unit: 0.00
Crystal system: monoclinic

Geometry as POSCAR:
```
SrZn4Rh
1.0
-3.591 3.504 -0.162
-4.713 -1.690 0.357
-0.855 -4.586 6.237
Sr Zn Rh
1 4 1
direct
0.500 0.000 0.000
0.500 0.500 0.500
0.726 0.774 0.721
0.274 0.226 0.279
0.000 0.000 0.500
0.000 0.500 0.500
```


A geometry-optimized SrZn11Rh structure. Source: Alexandria, functional GGA-PBE.

Values from the calculation:
Formation energy in meV/atom: -195
Size of the total moment in μB per formula unit: 0.00
Crystal system: monoclinic

Geometry as POSCAR:
```
SrZn11Rh
1.0
4.690 0.005 1.954
2.300 6.526 0.958
-0.154 0.003 6.975
Zn Rh Sr
11 1 1
direct
0.000 0.500 0.000
0.019 0.639 0.349
0.981 0.361 0.651
0.632 0.361 0.349
0.000 0.000 0.500
0.505 0.230 0.771
0.276 0.230 0.229
0.495 0.770 0.229
0.368 0.639 0.651
0.500 0.000 0.500
0.724 0.770 0.771
0.500 0.500 0.000
0.000 0.000 0.000
```